# La2ScCd | Alexandria | GGA-PBE | optimized geometry
# Total magnetic moment = 0.000 μB per atom
# Uncorrected energy = -4.37 eV per atom
# Calculated formation energy = -0.4 eV/f.u.
# Density = 5914 kg/m³
# N(E_F) = 6.20 states/eV/f.u.
data_La2ScCd
_space_group_name_H-M_alt 'A m m 2'
_space_group_IT_number 38
_cell_length_a 5.241
_cell_length_b 3.589
_cell_length_c 12.992
_cell_angle_alpha 90.00
_cell_angle_beta 90.00
_cell_angle_gamma 90.00
loop_
_space_group_symop_operation_xyz
'x,y,z'
'-x,-y,z'
'-x,y,z'
'x,-y,z'
'x,y+1/2,z+1/2'
'-x,-y+1/2,z+1/2'
'-x,y+1/2,z+1/2'
'x,-y+1/2,z+1/2'
loop_
_atom_site_label
_atom_site_type_symbol
_atom_site_fract_x
_atom_site_fract_y
_atom_site_fract_z
La1 La 0.000 0.000 0.000
La2 La 0.500 0.000 0.322
Sc1 Sc 0.500 0.000 0.595
Cd1 Cd 0.000 0.000 0.724